A geometry-optimized LiCdAg3 structure, computed with PBE.

```
LiCdAg3
1.0
4.9565 0.0000 0.0000
1.3077 4.7994 0.0000
0.7380 2.3387 7.5240
Li Cd Ag
2 2 6
direct
0.2503 0.1470 0.2052
0.7497 0.8530 0.7948
0.2483 0.3514 0.8009
0.7517 0.6486 0.1991
0.2494 0.9488 0.6015
0.2499 0.5501 0.3977
0.2535 0.7508 0.0012
0.7465 0.2492 0.9988
0.7501 0.4499 0.6023
0.7506 0.0512 0.3985
```

Computed properties:
M_tot, μB per formula unit: 0.0
Final energy, eV per atom: -2.42
Distance to the lowest polymorph of the same formula, meV/atom: 0.0
Crystal system: triclinic
Space group: P-1
Energy relative to the elements, eV per atom: -0.1416

=====

A geometry-optimized B3MoW structure, computed with PBE.

```
B3MoW
1.0
4.0331 0.0000 0.0000
0.0000 4.0331 0.0000
0.0000 0.0000 4.0331
B Mo W
3 1 1
direct
0.0000 0.0000 0.5000
0.0000 0.5000 0.0000
0.5000 0.0000 0.0000
0.5000 0.5000 0.5000
0.0000 0.0000 0.0000
```

Computed properties:
M_tot, μB per formula unit: 0.0
Final energy, eV per atom: -7.28
Distance to the lowest polymorph of the same formula, meV/atom: 1765.4
Crystal system: cubic
Space group: Pm-3m
Energy relative to the elements, eV per atom: 1.4844

=====

A geometry-optimized NaHfCu2Ag structure, computed with PBE.

```
NaHfCu2Ag
1.0
4.5087 0.0000 0.0000
0.0000 4.5087 0.0000
0.0000 0.0000 4.6740
Na Hf Cu Ag
1 1 2 1
direct
0.0000 0.0000 0.0000
0.5000 0.5000 0.5000
0.0000 0.5000 0.0000
0.5000 0.0000 0.0000
0.0000 0.0000 0.5000
```

Computed properties:
M_tot, μB per formula unit: 0.0
Final energy, eV per atom: -3.43
Crystal system: tetragonal
Space group: P4/mmm
Energy relative to the elements, eV per atom: 1.0330

=====

A geometry-optimized La4Tb2Er structure, computed with PBE.

```
La4Tb2Er
1.0
-3.4773 5.8038 6.1054
3.4773 -5.8038 6.1054
3.4773 5.8038 -6.1054
La Tb Er
8 4 2
direct
0.1547 0.1518 0.0029
0.2423 0.2108 0.4685
0.2423 0.7738 0.0315
0.3510 0.8482 0.5029
0.6490 0.1518 0.4971
0.7577 0.2262 0.9685
0.7577 0.7892 0.5315
0.8453 0.8482 0.9971
0.0000 0.5000 0.5000
0.0353 0.2853 0.7500
0.5000 0.5000 0.0000
0.9647 0.7147 0.2500
0.5000 0.0000 0.0000
0.5000 0.5000 0.5000
```

Computed properties:
M_tot, μB per formula unit: 0.0
Final energy, eV per atom: -4.57
Distance to the lowest polymorph of the same formula, meV/atom: 148.2
Crystal system: orthorhombic
Space group: Imma
Energy relative to the elements, eV per atom: 0.2183